An optimized crystal structure of Y2ZnRe2. Source: Alexandria, functional PBE.

Properties
- energy relative to the elements (eV per formula unit) = 0.52
- mass density (kg/m3) = 9676

CIF file:
```
data_Y2ZnRe2
_cell_length_a 6.840
_cell_length_b 6.840
_cell_length_c 4.517
_cell_angle_alpha 90.00
_cell_angle_beta 90.00
_cell_angle_gamma 90.00
_symmetry_space_group_name_H-M 'P 1'
_symmetry_Int_Tables_number 1
loop_
_symmetry_equiv_pos_as_xyz
'x,y,z'
loop_
_atom_site_label
_atom_site_type_symbol
_atom_site_fract_x
_atom_site_fract_y
_atom_site_fract_z
_atom_site_occupancy
Y1 Y 0.177 0.677 0.500 1
Y2 Y 0.677 0.823 0.500 1
Y3 Y 0.823 0.323 0.500 1
Y4 Y 0.323 0.177 0.500 1
Re1 Re 0.377 0.877 0.000 1
Re2 Re 0.877 0.623 0.000 1
Re3 Re 0.623 0.123 0.000 1
Re4 Re 0.123 0.377 0.000 1
Zn1 Zn 0.000 0.000 0.000 1
Zn2 Zn 0.500 0.500 0.000 1
```



An optimized crystal structure of KGa. Source: Alexandria, functional PBE.

Properties
- relative energy among the computed polymorphs (kJ/mol of atoms) = 67.53
- energy relative to the elements (eV per formula unit) = 1.19
- mass density (kg/m3) = 1743

CIF file:
```
data_KGa
_cell_length_a 5.869
_cell_length_b 5.869
_cell_length_c 6.948
_cell_angle_alpha 90.00
_cell_angle_beta 90.00
_cell_angle_gamma 120.00
_symmetry_space_group_name_H-M 'P 1'
_symmetry_Int_Tables_number 1
loop_
_symmetry_equiv_pos_as_xyz
'x,y,z'
loop_
_atom_site_label
_atom_site_type_symbol
_atom_site_fract_x
_atom_site_fract_y
_atom_site_fract_z
_atom_site_occupancy
K1 K 0.333 0.667 0.250 1
K2 K 0.667 0.333 0.750 1
Ga1 Ga 0.333 0.667 0.750 1
Ga2 Ga 0.667 0.333 0.250 1
```



An optimized crystal structure of CaNpAg2O6. Source: Alexandria, functional PBE.

Properties
- uncorrected formation energy (meV/atom) = -1757
- mass density (kg/m3) = 6934

CIF file:
```
data_CaNpAg2O6
_cell_length_a 5.567
_cell_length_b 5.975
_cell_length_c 8.483
_cell_angle_alpha 90.00
_cell_angle_beta 91.72
_cell_angle_gamma 90.00
_symmetry_space_group_name_H-M 'P 1'
_symmetry_Int_Tables_number 1
loop_
_symmetry_equiv_pos_as_xyz
'x,y,z'
loop_
_atom_site_label
_atom_site_type_symbol
_atom_site_fract_x
_atom_site_fract_y
_atom_site_fract_z
_atom_site_occupancy
Ca1 Ca 0.500 0.000 0.000 1
Ca2 Ca 0.000 0.500 0.500 1
Np1 Np 0.500 0.000 0.500 1
Np2 Np 0.000 0.500 0.000 1
Ag1 Ag 0.009 0.928 0.262 1
Ag2 Ag 0.509 0.572 0.762 1
Ag3 Ag 0.991 0.072 0.738 1
Ag4 Ag 0.491 0.428 0.238 1
O1 O 0.285 0.683 0.066 1
O2 O 0.785 0.817 0.566 1
O3 O 0.715 0.317 0.934 1
O4 O 0.215 0.183 0.434 1
O5 O 0.331 0.726 0.421 1
O6 O 0.831 0.774 0.921 1
O7 O 0.669 0.274 0.579 1
O8 O 0.169 0.226 0.079 1
O9 O 0.866 0.571 0.231 1
O10 O 0.366 0.929 0.731 1
O11 O 0.134 0.429 0.769 1
O12 O 0.634 0.071 0.269 1
```



An optimized crystal structure of CaIn2Ge. Source: Alexandria, functional PBE.

Properties
- energy relative to the elements (eV per formula unit) = 0.69
- mass density (kg/m3) = 4832

CIF file:
```
data_CaIn2Ge
_cell_length_a 3.534
_cell_length_b 3.534
_cell_length_c 11.069
_cell_angle_alpha 80.81
_cell_angle_beta 80.81
_cell_angle_gamma 60.00
_symmetry_space_group_name_H-M 'P 1'
_symmetry_Int_Tables_number 1
loop_
_symmetry_equiv_pos_as_xyz
'x,y,z'
loop_
_atom_site_label
_atom_site_type_symbol
_atom_site_fract_x
_atom_site_fract_y
_atom_site_fract_z
_atom_site_occupancy
Ge1 Ge 0.500 0.500 0.500 1
Ca1 Ca 0.000 0.000 0.000 1
In1 In 0.098 0.098 0.705 1
In2 In 0.902 0.902 0.295 1
```



An optimized crystal structure of CoPdSCl2. Source: Alexandria, functional PBE.

Properties
- relative energy among the computed polymorphs (kJ/mol of atoms) = 0.00
- uncorrected formation energy (meV/atom) = 288
- mass density (kg/m3) = 4710

CIF file:
```
data_CoPdSCl2
_cell_length_a 4.743
_cell_length_b 4.743
_cell_length_c 4.205
_cell_angle_alpha 90.00
_cell_angle_beta 90.00
_cell_angle_gamma 90.00
_symmetry_space_group_name_H-M 'P 1'
_symmetry_Int_Tables_number 1
loop_
_symmetry_equiv_pos_as_xyz
'x,y,z'
loop_
_atom_site_label
_atom_site_type_symbol
_atom_site_fract_x
_atom_site_fract_y
_atom_site_fract_z
_atom_site_occupancy
S1 S 0.000 0.000 0.500 1
Co1 Co 0.000 0.000 0.000 1
Pd1 Pd 0.500 0.500 0.500 1
Cl1 Cl 0.000 0.500 0.000 1
Cl2 Cl 0.500 0.000 0.000 1
```



An optimized crystal structure of AsAuNF. Source: Alexandria, functional PBE.

Properties
- relative energy among the computed polymorphs (kJ/mol of atoms) = 16.48
- uncorrected formation energy (meV/atom) = -239
- mass density (kg/m3) = 6141

CIF file:
```
data_AsAuNF
_cell_length_a 2.906
_cell_length_b 4.980
_cell_length_c 6.303
_cell_angle_alpha 99.98
_cell_angle_beta 103.31
_cell_angle_gamma 106.19
_symmetry_space_group_name_H-M 'P 1'
_symmetry_Int_Tables_number 1
loop_
_symmetry_equiv_pos_as_xyz
'x,y,z'
loop_
_atom_site_label
_atom_site_type_symbol
_atom_site_fract_x
_atom_site_fract_y
_atom_site_fract_z
_atom_site_occupancy
As1 As 0.376 0.962 0.419 1
Au1 Au 0.494 0.715 0.891 1
N1 N 0.736 0.869 0.230 1
F1 F 0.252 0.587 0.529 1
```